No. 1
Density functional theory data (PBE) for a relaxed PmErRh4 crystal.

Computed properties:
The calculation puts the energy of formation from the pure elements at -0.7124 eV per atom.

abc: 7.578 7.578 7.578
angles: 90.00 90.00 90.00
Space group F-43m (No. 216)
Symmetry-distinct sites (fractional):
Pm 0.000 0.000 0.000 (multiplicity 4)
Er 0.250 0.250 0.250 (multiplicity 4)
Rh 0.125 0.125 0.625 (multiplicity 16)

No. 2
Density functional theory data (PBE) for a relaxed PmErRh2 crystal.

Computed properties:
The calculation puts the energy of formation from the pure elements at -0.7983 eV per atom. The relative energy among the computed polymorphs is 0 meV per atom.

abc: 6.915 6.915 6.915
angles: 90.00 90.00 90.00
Space group Fm-3m (No. 225)
Symmetry-distinct sites (fractional):
Pm 0.000 0.000 0.000 (multiplicity 4)
Er 0.000 0.000 0.500 (multiplicity 4)
Rh 0.250 0.250 0.250 (multiplicity 8)

No. 3
Density functional theory data (PBE) for a relaxed PmEr2Rh2 crystal.

Computed properties:
The calculation puts the energy of formation from the pure elements at -0.6262 eV per atom. The relative energy among the computed polymorphs is 0 meV per atom.

abc: 4.069 24.867 4.687
angles: 90.00 90.00 90.00
Space group Cmcm (No. 63)
Symmetry-distinct sites (fractional):
Pm 0.000 0.136 0.250 (multiplicity 4)
Er 0.000 0.250 0.750 (multiplicity 4)
Er 0.000 0.447 0.250 (multiplicity 4)
Rh 0.000 0.030 0.250 (multiplicity 4)
Rh 0.000 0.324 0.250 (multiplicity 4)

No. 4
Density functional theory data (PBE) for a relaxed Pm3ErRh crystal.

Computed properties:
The calculation puts the energy of formation from the pure elements at -0.3081 eV per atom. The relative energy among the computed polymorphs is 0 meV per atom.

abc: 11.621 9.111 7.166
angles: 90.00 127.27 90.00
Space group C2 (No. 5)
Symmetry-distinct sites (fractional):
Pm 0.041 0.000 0.291 (multiplicity 4)
Pm 0.042 0.409 0.290 (multiplicity 4)
Pm 0.204 0.705 0.193 (multiplicity 4)
Er 0.202 0.704 0.726 (multiplicity 4)
Rh 0.250 0.454 0.002 (multiplicity 4)

No. 5
Density functional theory data (PBE) for a relaxed PmEr3Rh8 crystal.

Computed properties:
The calculation puts the energy of formation from the pure elements at -0.7126 eV per atom.

abc: 5.3344 5.3344 8.7301
angles: 90.00 90.00 120.00
Space group P3m1 (No. 156)
Symmetry-distinct sites (fractional):
Pm 0.0000 0.0000 0.0000 (multiplicity 1)
Er 0.0000 0.0000 0.3676 (multiplicity 1)
Er 0.6667 0.3333 0.4981 (multiplicity 1)
Er 0.6667 0.3333 0.8638 (multiplicity 1)
Rh 0.1645 0.3290 0.6802 (multiplicity 3)
Rh 0.3333 0.6667 0.4325 (multiplicity 1)
Rh 0.3333 0.6667 0.9318 (multiplicity 1)
Rh 0.5023 0.0047 0.1856 (multiplicity 3)

No. 6
Density functional theory data (PBE) for a relaxed Pm3ErRh crystal.

Computed properties:
The calculation puts the energy of formation from the pure elements at -0.1124 eV per atom. The relative energy among the computed polymorphs is 196 meV per atom.

abc: 5.529 5.529 5.529
angles: 90.00 90.00 90.00
Space group Pm-3m (No. 221)
Symmetry-distinct sites (fractional):
Pm 0.000 0.000 0.500 (multiplicity 3)
Er 0.500 0.500 0.500 (multiplicity 1)
Rh 0.000 0.000 0.000 (multiplicity 1)

No. 7
Density functional theory data (PBE) for a relaxed PmEr3Rh3 crystal.

Computed properties:
The calculation puts the energy of formation from the pure elements at -0.6921 eV per atom.

abc: 9.258 10.221 6.836
angles: 90.00 90.85 90.00
Space group C2/m (No. 12)
Symmetry-distinct sites (fractional):
Pm 0.237 0.000 0.399 (multiplicity 4)
Er 0.000 0.259 0.500 (multiplicity 4)
Er 0.000 0.311 0.000 (multiplicity 4)
Er 0.186 0.000 0.901 (multiplicity 4)
Rh 0.048 0.500 0.291 (multiplicity 4)
Rh 0.250 0.246 0.765 (multiplicity 8)

No. 8
Density functional theory data (PBE) for a relaxed Pm3ErRh2 crystal.

Computed properties:
The calculation puts the energy of formation from the pure elements at -0.5044 eV per atom.

abc: 6.819 13.741 7.239
angles: 90.00 90.00 90.00
Space group Ibam (No. 72)
Symmetry-distinct sites (fractional):
Pm 0.000 0.000 0.250 (multiplicity 4)
Pm 0.000 0.269 0.250 (multiplicity 8)
Er 0.000 0.500 0.000 (multiplicity 4)
Rh 0.215 0.136 0.000 (multiplicity 8)

No. 9
Density functional theory data (PBE) for a relaxed PmErRh crystal.

Computed properties:
The calculation puts the energy of formation from the pure elements at -0.5379 eV per atom. The relative energy among the computed polymorphs is 53 meV per atom.

abc: 6.859 6.859 6.859
angles: 90.00 90.00 90.00
Space group F-43m (No. 216)
Symmetry-distinct sites (fractional):
Pm 0.000 0.000 0.000 (multiplicity 4)
Er 0.000 0.000 0.500 (multiplicity 4)
Rh 0.250 0.250 0.250 (multiplicity 4)

No. 10
Density functional theory data (PBE) for a relaxed PmEr2Rh9 crystal.

Computed properties:
The calculation puts the energy of formation from the pure elements at -0.5724 eV per atom.

abc: 5.2705 5.2705 26.2308
angles: 90.00 90.00 120.00
Space group R-3m (No. 166, hexagonal axes)
Symmetry-distinct sites (fractional):
Pm 0.0000 0.0000 0.0000 (multiplicity 3)
Er 0.0000 0.0000 0.1395 (multiplicity 6)
Rh 0.0000 0.0000 0.3331 (multiplicity 6)
Rh 0.0000 0.0000 0.5000 (multiplicity 3)
Rh 0.0008 0.5004 0.9166 (multiplicity 18)

Going through the records in order, we get total DFT energy (no corrections) values of -7.166; -6.802; -6.342; -5.541; -7.150; -5.346; -6.477; -6.091; -6.093; -7.242 eV/atom.
Going through the records in order, we get ρ values of 11049; 10409; 9598; 7757; 11346; 6929; 9813; 7913; 8547; 11097 kg/m3.